1.
# ZnTe3Os

A PBEsol-optimized structure of ZnTe3Os (SCAN, the Alexandria database).

a b c (Å): 4.968 4.968 4.968
angles (deg): 90.00 90.00 90.00
Space group Pm-3m (No. 221)
Symmetry-distinct sites (fractional):
Zn1 0.000 0.000 0.000 x1
Te1 0.000 0.000 0.500 x3
Os1 0.500 0.500 0.500 x1

Summary:
- uncorrected energy (eV per atom) = -37.81
- E_form (uncorrected) (meV per atom) = 1622.3

2.
# Li15Au4

A PBEsol-optimized structure of Li15Au4 (SCAN, the Alexandria database).

a b c (Å): 10.666 10.666 10.666
angles (deg): 90.00 90.00 90.00
Space group I-43d (No. 220)
Symmetry-distinct sites (fractional):
Li1 0.000 0.250 0.375 x12
Li2 0.038 0.382 0.157 x48
Au1 0.044 0.456 0.544 x16

Summary:
- uncorrected energy (eV per atom) = -16.89
- E_form (meV per atom) = -444

3.
# NdZn5

A PBEsol-optimized structure of NdZn5 (SCAN, the Alexandria database).

a b c (Å): 5.2850 5.2850 4.1740
angles (deg): 90.00 90.00 120.00
Space group P6/mmm (No. 191)
Symmetry-distinct sites (fractional):
Nd1 0.0000 0.0000 0.0000 x1
Zn1 0.0000 0.5000 0.5000 x3
Zn2 0.3333 0.6667 0.0000 x2

Summary:
- uncorrected energy (eV per atom) = -18.91
- E_form (meV per atom) = -384

4.
# MgTaPt2

A PBEsol-optimized structure of MgTaPt2 (SCAN, the Alexandria database).

a b c (Å): 2.807 4.682 4.828
angles (deg): 90.00 90.00 90.00
Space group Pmm2 (No. 25)
Symmetry-distinct sites (fractional):
Mg1 0.000 0.000 0.000 x1
Ta1 0.000 0.500 0.407 x1
Pt1 0.500 0.000 0.518 x1
Pt2 0.500 0.500 0.914 x1

Summary:
- uncorrected energy (eV per atom) = -53.88
- E_form (meV per atom) = -890